{
  "formula": "TbPuBi2",
  "functional": "PBE",
  "state": "optimized geometry",
  "spacegroup": "Fm-3m",
  "polymorph_energy_mev_per_atom": 142,
  "ef_ev_per_atom": -0.459,
  "lattice_angstrom": [[7.784, 0.000, 0.000], [0.000, 7.784, 0.000], [0.000, 0.000, 7.784]],
  "species": ["Tb", "Tb", "Tb", "Tb", "Pu", "Pu", "Pu", "Pu", "Bi", "Bi", "Bi", "Bi", "Bi", "Bi", "Bi", "Bi"],
  "fractional_positions": [[0.000, 0.000, 0.000], [0.000, 0.500, 0.500], [0.500, 0.000, 0.500], [0.500, 0.500, 0.000], [0.000, 0.000, 0.500], [0.000, 0.500, 0.000], [0.500, 0.000, 0.000], [0.500, 0.500, 0.500], [0.250, 0.250, 0.250], [0.250, 0.250, 0.750], [0.250, 0.750, 0.250], [0.250, 0.750, 0.750], [0.750, 0.250, 0.250], [0.750, 0.250, 0.750], [0.750, 0.750, 0.250], [0.750, 0.750, 0.750]]
}